Crystalline Tm12In6Tc at its relaxed geometry. Source: Alexandria via LeMat-Bulk, functional PBE-GGA.

abc: 7.9616 7.9616 7.9616
angles: 90.30 90.30 90.30
Fractional coordinates of all 19 atoms:
Tm1 0.8026 0.5316 0.4476
Tm2 0.4476 0.8026 0.5316
Tm3 0.5316 0.4476 0.8026
Tm4 0.1974 0.4684 0.5524
Tm5 0.5524 0.1974 0.4684
Tm6 0.4684 0.5524 0.1974
Tm7 0.0262 0.1305 0.3511
Tm8 0.8695 0.6489 0.9738
Tm9 0.6489 0.9738 0.8695
Tm10 0.9738 0.8695 0.6489
Tm11 0.1305 0.3511 0.0262
Tm12 0.3511 0.0262 0.1305
In1 0.7215 0.8832 0.2579
In2 0.7421 0.2785 0.1168
In3 0.1168 0.7421 0.2785
In4 0.2785 0.1168 0.7421
In5 0.2579 0.7215 0.8832
In6 0.8832 0.2579 0.7215
Tc1 0.0000 0.0000 0.0000

Electronic total energy ... -4.42 eV/atom
Mass density ... 9.3 g cm⁻³
DFT formation energy ... -0.188 eV/atom

***

Crystalline Tm12In3Tc at its relaxed geometry. Source: Alexandria via LeMat-Bulk, functional PBE-GGA.

abc: 4.7510 4.7510 18.7894
angles: 90.00 90.00 90.00
Fractional coordinates of all 16 atoms:
Tm1 0.5000 0.5000 0.0000
Tm2 0.5000 0.5000 0.2428
Tm3 0.5000 0.5000 0.5000
Tm4 0.5000 0.5000 0.7572
Tm5 0.5000 0.0000 0.1099
Tm6 0.5000 0.0000 0.3715
Tm7 0.5000 0.0000 0.6285
Tm8 0.5000 0.0000 0.8901
Tm9 0.0000 0.5000 0.1099
Tm10 0.0000 0.5000 0.3715
Tm11 0.0000 0.5000 0.6285
Tm12 0.0000 0.5000 0.8901
In1 0.0000 0.0000 0.2456
In2 0.0000 0.0000 0.5000
In3 0.0000 0.0000 0.7544
Tc1 0.0000 0.0000 0.0000

Electronic total energy ... -4.67 eV/atom
Mass density ... 9.7 g cm⁻³
DFT formation energy ... -0.159 eV/atom

***

Crystalline Tm2In8Tc at its relaxed geometry. Source: Alexandria via LeMat-Bulk, functional PBE-GGA.

abc: 4.6145 4.6145 12.2996
angles: 90.00 90.00 90.00
Fractional coordinates of all 11 atoms:
Tm1 0.0000 0.0000 0.3098
Tm2 0.0000 0.0000 0.6902
In1 0.0000 0.5000 0.5000
In2 0.5000 0.0000 0.5000
In3 0.5000 0.5000 0.3105
In4 0.5000 0.5000 0.6895
In5 0.0000 0.5000 0.1244
In6 0.5000 0.0000 0.1244
In7 0.0000 0.5000 0.8756
In8 0.5000 0.0000 0.8756
Tc1 0.0000 0.0000 0.0000

Electronic total energy ... -3.96 eV/atom
Mass density ... 8.6 g cm⁻³
DFT formation energy ... -0.213 eV/atom

***

Crystalline Tm7In2Tc2 at its relaxed geometry. Source: Alexandria via LeMat-Bulk, functional PBE-GGA.

abc: 6.5348 7.5980 6.5348
angles: 90.00 113.56 90.00
Fractional coordinates of all 11 atoms:
Tm1 0.0000 0.2692 0.5000
Tm2 0.5000 0.7308 0.0000
Tm3 0.0000 0.7308 0.5000
Tm4 0.5000 0.2692 0.0000
Tm5 0.0000 0.0000 0.0000
Tm6 0.5000 0.7874 0.5000
Tm7 0.5000 0.2126 0.5000
In1 0.8062 0.5000 0.8062
In2 0.1938 0.5000 0.1938
Tc1 0.7042 0.0000 0.2958
Tc2 0.2958 0.0000 0.7042

Electronic total energy ... -5.31 eV/atom
Mass density ... 9.0 g cm⁻³
DFT formation energy ... -0.085 eV/atom

***

Crystalline Tm2InTc at its relaxed geometry. Source: Alexandria via LeMat-Bulk, functional PBE-GGA.

abc: 3.5199 3.5199 7.3167
angles: 90.00 90.00 90.00
Fractional coordinates of all 4 atoms:
Tm1 0.0000 0.0000 0.7848
Tm2 0.0000 0.0000 0.2152
Tc1 0.5000 0.5000 0.0000
In1 0.5000 0.5000 0.5000

Relative energy among the computed polymorphs ... 0.0 meV/atom
Electronic total energy ... -5.80 eV/atom
Mass density ... 10.1 g cm⁻³
DFT formation energy ... -0.290 eV/atom

***

Crystalline Tm6In3Tc at its relaxed geometry. Source: Alexandria via LeMat-Bulk, functional PBE-GGA.

abc: 5.1988 9.1345 11.2472
angles: 107.64 90.00 90.00
Fractional coordinates of all 20 atoms:
Tm1 0.2500 0.4590 0.0848
Tm2 0.7500 0.5410 0.9152
Tm3 0.2500 0.1250 0.1618
Tm4 0.7500 0.8750 0.8382
Tm5 0.2500 0.6895 0.6708
Tm6 0.7500 0.3105 0.3292
Tm7 0.2500 0.2144 0.4918
Tm8 0.7500 0.7856 0.5082
Tm9 0.2500 0.8538 0.3295
Tm10 0.7500 0.1462 0.6705
Tm11 0.2500 0.1043 0.8583
Tm12 0.7500 0.8957 0.1417
In1 0.2500 0.5179 0.3828
In2 0.7500 0.4821 0.6172
In3 0.2500 0.3959 0.7779
In4 0.7500 0.6041 0.2221
In5 0.2500 0.7753 0.9762
In6 0.7500 0.2247 0.0238
Tc1 0.2500 0.9618 0.6005
Tc2 0.7500 0.0382 0.3995

Electronic total energy ... -4.85 eV/atom
Mass density ... 9.5 g cm⁻³
DFT formation energy ... -0.311 eV/atom

***

Crystalline Tm4InTc at its relaxed geometry. Source: Alexandria via LeMat-Bulk, functional PBE-GGA.

abc: 6.1272 7.7235 7.7235
angles: 112.09 99.70 99.70
Fractional coordinates of all 12 atoms:
Tm1 0.8866 0.6445 0.8008
Tm2 0.0487 0.9388 0.2756
Tm3 0.6134 0.1992 0.3555
Tm4 0.4513 0.7244 0.0612
Tm5 0.5487 0.2756 0.9388
Tm6 0.3866 0.8008 0.6445
Tm7 0.9513 0.0612 0.7244
Tm8 0.1134 0.3555 0.1992
In1 0.7500 0.6257 0.3743
In2 0.2500 0.3743 0.6257
Tc1 0.2500 0.9993 0.0007
Tc2 0.7500 0.0007 0.9993

Relative energy among the computed polymorphs ... 0.0 meV/atom
Electronic total energy ... -5.43 eV/atom
Mass density ... 9.1 g cm⁻³
DFT formation energy ... -0.266 eV/atom

***

Crystalline Tm6In10Tc at its relaxed geometry. Source: Alexandria via LeMat-Bulk, functional PBE-GGA.

abc: 6.0775 8.9881 8.9881
angles: 120.00 90.00 90.00
Fractional coordinates of all 17 atoms:
Tm1 0.7112 0.3781 0.3781
Tm2 0.7112 0.0000 0.6219
Tm3 0.7112 0.6219 0.0000
Tm4 0.2888 0.6219 0.6219
Tm5 0.2888 0.0000 0.3781
Tm6 0.2888 0.3781 0.0000
In1 0.8021 0.7572 0.7572
In2 0.8021 0.0000 0.2428
In3 0.8021 0.2428 0.0000
In4 0.1979 0.2428 0.2428
In5 0.1979 0.0000 0.7572
In6 0.1979 0.7572 0.0000
In7 0.5000 0.3333 0.6667
In8 0.5000 0.6667 0.3333
In9 0.0000 0.6667 0.3333
In10 0.0000 0.3333 0.6667
Tc1 0.5000 0.0000 0.0000

Electronic total energy ... -4.02 eV/atom
Mass density ... 8.8 g cm⁻³
DFT formation energy ... -0.220 eV/atom

***

Crystalline Tm8InTc2 at its relaxed geometry. Source: Alexandria via LeMat-Bulk, functional PBE-GGA.

abc: 5.3726 7.8134 7.8134
angles: 112.05 97.88 97.88
Fractional coordinates of all 11 atoms:
Tm1 0.9222 0.9385 0.6700
Tm2 0.9222 0.6700 0.9385
Tm3 0.3041 0.6164 0.6164
Tm4 0.5000 0.7534 0.2466
Tm5 0.5000 0.2466 0.7534
Tm6 0.6959 0.3836 0.3836
Tm7 0.0778 0.3300 0.0615
Tm8 0.0778 0.0615 0.3300
In1 0.5000 0.0000 0.0000
Tc1 0.0000 0.3178 0.6822
Tc2 0.0000 0.6822 0.3178

Relative energy among the computed polymorphs ... 0.0 meV/atom
Electronic total energy ... -5.54 eV/atom
Mass density ... 9.4 g cm⁻³
DFT formation energy ... -0.149 eV/atom

***

Crystalline Tm3InTc at its relaxed geometry. Source: Alexandria via LeMat-Bulk, functional PBE-GGA.

abc: 4.9938 6.1377 8.8788
angles: 101.69 90.00 114.00
Fractional coordinates of all 10 atoms:
Tm1 0.9320 0.8640 0.6597
Tm2 0.0680 0.1360 0.3403
Tm3 0.5782 0.1565 0.8666
Tm4 0.4218 0.8435 0.1334
Tm5 0.7447 0.4894 0.2206
Tm6 0.2553 0.5106 0.7794
In1 0.3629 0.7257 0.4547
In2 0.6371 0.2743 0.5453
Tc1 0.1115 0.2229 0.0320
Tc2 0.8885 0.7771 0.9680

Electronic total energy ... -5.57 eV/atom
Mass density ... 9.9 g cm⁻³
DFT formation energy ... -0.261 eV/atom

***

Crystalline Tm5InTc2 at its relaxed geometry. Source: Alexandria via LeMat-Bulk, functional PBE-GGA.

abc: 7.4632 7.4632 8.9635
angles: 114.60 114.60 90.00
Fractional coordinates of all 16 atoms:
Tm1 0.5378 0.6920 0.7298
Tm2 0.8080 0.9622 0.2702
Tm3 0.0000 0.0000 0.0000
Tm4 0.5000 0.5000 0.0000
Tm5 0.1920 0.0378 0.7298
Tm6 0.6920 0.1920 0.7298
Tm7 0.0378 0.5378 0.7298
Tm8 0.3080 0.8080 0.2702
Tm9 0.9622 0.4622 0.2702
Tm10 0.4622 0.3080 0.2702
In1 0.7500 0.7500 0.5000
In2 0.2500 0.2500 0.5000
Tc1 0.1197 0.3803 0.0000
Tc2 0.6197 0.1197 0.0000
Tc3 0.3803 0.8803 0.0000
Tc4 0.8803 0.6197 0.0000

Electronic total energy ... -5.92 eV/atom
Mass density ... 9.5 g cm⁻³
DFT formation energy ... -0.190 eV/atom

***

Crystalline Tm4InTc at its relaxed geometry. Source: Alexandria via LeMat-Bulk, functional PBE-GGA.

abc: 4.9985 5.0022 8.4395
angles: 72.75 72.77 60.02
Fractional coordinates of all 6 atoms:
Tm1 0.6356 0.6357 0.0931
Tm2 0.3644 0.3643 0.9069
Tm3 0.1146 0.1141 0.6567
Tm4 0.8854 0.8859 0.3433
In1 0.5000 0.5000 0.5000
Tc1 0.0000 0.0000 0.0000

Relative energy among the computed polymorphs ... 218.7 meV/atom
Electronic total energy ... -5.21 eV/atom
Mass density ... 8.6 g cm⁻³
DFT formation energy ... -0.047 eV/atom

***

Crystalline Tm2InTc at its relaxed geometry. Source: Alexandria via LeMat-Bulk, functional PBE-GGA.

abc: 5.0070 5.0070 5.0070
angles: 60.00 60.00 60.00
Fractional coordinates of all 4 atoms:
Tm1 0.2500 0.2500 0.2500
Tm2 0.7500 0.7500 0.7500
Tc1 0.0000 0.0000 0.0000
In1 0.5000 0.5000 0.5000

Relative energy among the computed polymorphs ... 98.1 meV/atom
Electronic total energy ... -5.70 eV/atom
Mass density ... 10.3 g cm⁻³
DFT formation energy ... -0.192 eV/atom

***

Crystalline Tm8InTc2 at its relaxed geometry. Source: Alexandria via LeMat-Bulk, functional PBE-GGA.

abc: 5.2530 6.8627 8.8881
angles: 112.66 107.18 90.06
Fractional coordinates of all 11 atoms:
Tm1 0.6374 0.2665 0.9087
Tm2 0.9661 0.0147 0.5686
Tm3 0.3062 0.3552 0.2496
Tm4 0.7470 0.9348 0.1298
Tm5 0.3444 0.8597 0.3259
Tm6 0.9274 0.4432 0.4925
Tm7 0.1392 0.5355 0.9095
Tm8 0.5263 0.7137 0.6888
In1 0.1371 0.9706 0.9092
Tc1 0.7990 0.6176 0.2376
Tc2 0.4699 0.2885 0.5798

Relative energy among the computed polymorphs ... 7.4 meV/atom
Electronic total energy ... -5.53 eV/atom
Mass density ... 9.9 g cm⁻³
DFT formation energy ... -0.142 eV/atom

***

Crystalline TmZrInTc at its relaxed geometry. Source: Alexandria via LeMat-Bulk, functional PBE-GGA.

abc: 4.9158 4.9158 4.9158
angles: 60.00 60.00 60.00
Fractional coordinates of all 4 atoms:
Tm1 0.2500 0.2500 0.2500
Tc1 0.5000 0.5000 0.5000
Zr1 0.7500 0.7500 0.7500
In1 0.0000 0.0000 0.0000

Electronic total energy ... -6.73 eV/atom
Mass density ... 9.4 g cm⁻³
DFT formation energy ... -0.202 eV/atom

***

Crystalline UInTc2 at its relaxed geometry. Source: Alexandria via LeMat-Bulk, functional PBE-GGA.

abc: 3.3591 3.3591 6.4820
angles: 90.00 90.00 90.00
Fractional coordinates of all 4 atoms:
U1 0.5000 0.5000 0.0000
Tc1 0.0000 0.0000 0.7789
Tc2 0.0000 0.0000 0.2211
In1 0.5000 0.5000 0.5000

Relative energy among the computed polymorphs ... 75.9 meV/atom
Electronic total energy ... -8.70 eV/atom
Mass density ... 12.5 g cm⁻³
DFT formation energy ... -0.010 eV/atom

***

Crystalline UInTc4 at its relaxed geometry. Source: Alexandria via LeMat-Bulk, functional PBE-GGA.

abc: 5.3198 5.3198 5.3198
angles: 60.00 60.00 60.00
Site moments in Bohr magnetons follow the coordinates.
Fractional coordinates of all 6 atoms:
U1 0.2500 0.2500 0.2500  1.46
Tc1 0.6261 0.6261 0.1218  0.05
Tc2 0.6261 0.1218 0.6261  0.05
Tc3 0.6261 0.6261 0.6261  0.05
Tc4 0.1218 0.6261 0.6261  0.05
In1 0.0000 0.0000 0.0000  0.01

Electronic total energy ... -9.07 eV/atom
Mass density ... 11.6 g cm⁻³
DFT formation energy ... 0.177 eV/atom

***

Crystalline UInTc2 at its relaxed geometry. Source: Alexandria via LeMat-Bulk, functional PBE-GGA.

abc: 3.3377 3.3377 8.1692
angles: 78.21 78.21 60.00
Fractional coordinates of all 4 atoms:
U1 0.0000 0.0000 0.0000
Tc1 0.7387 0.7387 0.7838
Tc2 0.2613 0.2613 0.2162
In1 0.5000 0.5000 0.5000

Relative energy among the computed polymorphs ... 211.0 meV/atom
Electronic total energy ... -8.56 eV/atom
Mass density ... 11.9 g cm⁻³
DFT formation energy ... 0.125 eV/atom

***

Crystalline U2InTc at its relaxed geometry. Source: Alexandria via LeMat-Bulk, functional PBE-GGA.

abc: 3.0153 3.0153 10.4548
angles: 81.71 81.71 60.00
Site moments in Bohr magnetons follow the coordinates.
Fractional coordinates of all 4 atoms:
U1 0.7404 0.7404 0.7787  0.15
U2 0.2596 0.2596 0.2213  0.15
Tc1 0.0000 0.0000 0.0000  -0.02
In1 0.5000 0.5000 0.5000  0.00

Relative energy among the computed polymorphs ... 14.2 meV/atom
Electronic total energy ... -8.76 eV/atom
Mass density ... 14.1 g cm⁻³
DFT formation energy ... 0.158 eV/atom

***

Crystalline UInTc2 at its relaxed geometry. Source: Alexandria via LeMat-Bulk, functional PBE-GGA.

abc: 4.6938 4.6938 4.6938
angles: 60.00 60.00 60.00
Site moments in Bohr magnetons follow the coordinates.
Fractional coordinates of all 4 atoms:
U1 0.0000 0.0000 0.0000  0.36
Tc1 0.2500 0.2500 0.2500  -0.06
Tc2 0.7500 0.7500 0.7500  -0.06
In1 0.5000 0.5000 0.5000  0.00

Relative energy among the computed polymorphs ... 139.2 meV/atom
Electronic total energy ... -8.64 eV/atom
Mass density ... 12.5 g cm⁻³
DFT formation energy ... 0.054 eV/atom